Computed, not measured: a relaxed ScRu3 crystal at the GGA-PBE level of DFT.

Output
Symmetry: No. 44
Magnetization in Bohr magnetons per cell: 0.00
Final energy in eV per atom: -8.69

```
ScRu3
1.0
-1.418 4.489 2.376
1.418 -4.489 2.376
1.418 4.489 -2.376
Sc Ru
1 3
direct
0.000 0.000 0.000 Sc
0.409 0.645 0.764 Ru
0.475 0.975 0.500 Ru
0.882 0.645 0.236 Ru
```